The following is a PBE calculation of an optimized crystal structure of Hf3ZnRh4, from the Alexandria database.

extended XYZ file:
```
16
Lattice="-0.666 -4.258 -1.560 5.752 0.051 -2.594 3.525 -3.390 7.751" Properties=species:S:1:pos:R:3 pbc="T T T"
Hf 3.425 -2.948 -0.138
Hf 1.763 -1.695 3.875
Hf 0.549 -2.975 1.158
Hf 0.000 0.000 0.000
Hf 5.186 -4.649 3.735
Hf 2.311 -4.673 5.033
Zn 2.876 0.025 -1.297
Zn 4.638 -1.669 2.579
Rh 5.751 -3.786 1.147
Rh 2.860 -3.811 2.451
Rh 6.965 -2.507 3.863
Rh 4.074 -2.533 5.167
Rh 1.097 -2.116 -1.425
Rh 4.538 -5.064 -1.569
Rh 1.646 -5.090 -0.266
Rh 3.989 -2.091 -2.729
```

Calculated values
Its volume is 16.565 A^3/atom. The calculation puts the formation energy at -0.84 eV per atom. The mass density is 12.69 g/cm3. The space-group type is No. 123.